## Na6NbAs4 (PBE)

Data for a geometry-optimized Na6NbAs4 structure.

The calculation puts the final energy at -3.776 eV per atom. As for the crystal system: hexagonal. The value obtained for the energy relative to the elements is -0.45 eV per atom.

It has space group P6_3mc (No. 186), with a = 9.5935 Å, b = 9.5935 Å, c = 7.3069 Å, α = 90.00°, β = 90.00° and γ = 120.00°. Symmetry generates all atoms from Na at (0.0602, 0.5301, 0.0000), Na at (0.1463, 0.2926, 0.3183), Nb at (0.3333, 0.6667, 0.6190), As at (0.1899, 0.3798, 0.7195) and As at (0.3333, 0.6667, 0.2797).



## NaNbAs2 (PBE)

Data for a geometry-optimized NaNbAs2 structure.

The calculation puts the final energy at -5.607 eV per atom. As for the crystal system: trigonal. As for the energy above the most stable polymorph in this dataset: 0.001 eV/atom. The value obtained for the energy relative to the elements is -0.44 eV per atom.

It has space group R3m (No. 160, hexagonal axes), with a = 3.4862 Å, b = 3.4862 Å, c = 23.9599 Å, α = 90.00°, β = 90.00° and γ = 120.00°. Symmetry generates all atoms from Na at (0.0000, 0.0000, 0.0000), Nb at (0.0000, 0.0000, 0.1666), As at (0.0000, 0.0000, 0.5717) and As at (0.0000, 0.0000, 0.7615).



## NaNbAs2 (PBE)

Data for a geometry-optimized NaNbAs2 structure.

The calculation puts the final energy at -5.299 eV per atom. As for the crystal system: tetragonal. As for the energy above the most stable polymorph in this dataset: 0.309 eV/atom. The value obtained for the energy relative to the elements is -0.13 eV per atom.

It has space group I-42d (No. 122), with a = 6.606 Å, b = 6.606 Å, c = 11.116 Å, α = 90.00°, β = 90.00° and γ = 90.00°. Symmetry generates all atoms from Na at (0.000, 0.000, 0.000), Nb at (0.000, 0.000, 0.500) and As at (0.183, 0.250, 0.625).



## NaNbAs2 (PBE)

Data for a geometry-optimized NaNbAs2 structure.

The calculation puts the final energy at -5.214 eV per atom. As for the crystal system: cubic. As for the energy above the most stable polymorph in this dataset: 0.395 eV/atom. The value obtained for the energy relative to the elements is -0.04 eV per atom.

It has space group Fm-3m (No. 225), with a = 6.665 Å, b = 6.665 Å, c = 6.665 Å, α = 90.00°, β = 90.00° and γ = 90.00°. Symmetry generates all atoms from Na at (0.000, 0.000, 0.000), Nb at (0.000, 0.000, 0.500) and As at (0.250, 0.250, 0.250).